No. 1
# BeTeAs2 PBE-GGA optimized geometry
# Energy above the most stable polymorph in this dataset in meV per atom: 7.4
# Raw formation energy in eV/atom: 0.062
data_BeTeAs2
_chemical_formula_sum 'Be1 Te1 As2'
_cell_length_a 4.4184
_cell_length_b 6.2191
_cell_length_c 6.2629
_cell_angle_alpha 130.00
_cell_angle_beta 121.58
_cell_angle_gamma 92.17
_symmetry_space_group_name_H-M 'P 1'
_symmetry_Int_Tables_number 1
loop_
_symmetry_equiv_pos_as_xyz
'x,y,z'
loop_
_atom_site_label
_atom_site_type_symbol
_atom_site_fract_x
_atom_site_fract_y
_atom_site_fract_z
As1 As 0.9699 0.9921 0.9478
Te1 Te 0.8061 0.3268 0.5976
Be1 Be 0.7046 0.3098 0.9447
As2 As 0.0194 0.8713 0.5099

***

No. 2
# MgAsCl2 PBE-GGA optimized geometry
# Energy above the most stable polymorph in this dataset in meV per atom: 725.0
# Raw formation energy in eV/atom: -0.162
data_MgAsCl2
_chemical_formula_sum 'Mg1 As1 Cl2'
_cell_length_a 9.4117
_cell_length_b 9.4117
_cell_length_c 9.4117
_cell_angle_alpha 20.59
_cell_angle_beta 20.59
_cell_angle_gamma 20.59
_symmetry_space_group_name_H-M 'P 1'
_symmetry_Int_Tables_number 1
loop_
_symmetry_equiv_pos_as_xyz
'x,y,z'
loop_
_atom_site_label
_atom_site_type_symbol
_atom_site_fract_x
_atom_site_fract_y
_atom_site_fract_z
Mg1 Mg 0.0000 0.0000 0.0000
Cl1 Cl 0.9135 0.9135 0.9135
As1 As 0.5000 0.5000 0.5000
Cl2 Cl 0.0865 0.0865 0.0865

***

No. 3
# Pm2AgAuO6 PBE-GGA optimized geometry
# Raw formation energy in eV/atom: -1.396
data_Pm2AgAuO6
_chemical_formula_sum 'Pm2 Ag1 Au1 O6'
_cell_length_a 4.6414
_cell_length_b 5.7015
_cell_length_c 5.7015
_cell_angle_alpha 90.00
_cell_angle_beta 90.00
_cell_angle_gamma 90.00
_symmetry_space_group_name_H-M 'P 1'
_symmetry_Int_Tables_number 1
loop_
_symmetry_equiv_pos_as_xyz
'x,y,z'
loop_
_atom_site_label
_atom_site_type_symbol
_atom_site_fract_x
_atom_site_fract_y
_atom_site_fract_z
Ag1 Ag 0.5878 0.5000 0.5000
O1 O 0.7246 0.2460 0.7540
O2 O 0.1191 0.5000 0.5000
O3 O 0.7246 0.7540 0.2460
O4 O 0.1640 0.0000 0.0000
O5 O 0.7246 0.2460 0.2460
Pm1 Pm 0.0094 0.5000 0.0000
Pm2 Pm 0.0094 0.0000 0.5000
O6 O 0.7246 0.7540 0.7540
Au1 Au 0.6585 0.0000 0.0000

***

No. 4
# LiYTmTl PBE-GGA optimized geometry
# Energy relative to the elements in meV/atom: -202
data_LiYTmTl
_chemical_formula_sum 'Li1 Y1 Tm1 Tl1'
_cell_length_a 5.2525
_cell_length_b 5.2525
_cell_length_c 5.2525
_cell_angle_alpha 60.00
_cell_angle_beta 60.00
_cell_angle_gamma 60.00
_symmetry_space_group_name_H-M 'P 1'
_symmetry_Int_Tables_number 1
loop_
_symmetry_equiv_pos_as_xyz
'x,y,z'
loop_
_atom_site_label
_atom_site_type_symbol
_atom_site_fract_x
_atom_site_fract_y
_atom_site_fract_z
Li1 Li 0.0000 0.0000 0.0000
Y1 Y 0.7500 0.7500 0.7500
Tl1 Tl 0.5000 0.5000 0.5000
Tm1 Tm 0.2500 0.2500 0.2500

***

No. 5
# Er3Zn PBE-GGA optimized geometry
# Energy relative to the elements in meV/atom: -28
data_Er3Zn
_chemical_formula_sum 'Er3 Zn1'
_cell_length_a 4.7010
_cell_length_b 4.7010
_cell_length_c 4.7010
_cell_angle_alpha 90.00
_cell_angle_beta 90.00
_cell_angle_gamma 90.00
_symmetry_space_group_name_H-M 'P 1'
_symmetry_Int_Tables_number 1
loop_
_symmetry_equiv_pos_as_xyz
'x,y,z'
loop_
_atom_site_label
_atom_site_type_symbol
_atom_site_fract_x
_atom_site_fract_y
_atom_site_fract_z
Er1 Er 0.0000 0.5000 0.5000
Er2 Er 0.5000 0.0000 0.5000
Er3 Er 0.5000 0.5000 0.0000
Zn1 Zn 0.0000 0.0000 0.0000

***

No. 6
# SrScBr PBE-GGA optimized geometry
# Energy above the most stable polymorph in this dataset in meV per atom: 120.6
# Raw formation energy in eV/atom: -0.478
data_SrScBr
_chemical_formula_sum 'Sr1 Sc1 Br1'
_cell_length_a 7.4022
_cell_length_b 7.4022
_cell_length_c 7.4022
_cell_angle_alpha 151.84
_cell_angle_beta 151.84
_cell_angle_gamma 40.24
_symmetry_space_group_name_H-M 'P 1'
_symmetry_Int_Tables_number 1
loop_
_symmetry_equiv_pos_as_xyz
'x,y,z'
loop_
_atom_site_label
_atom_site_type_symbol
_atom_site_fract_x
_atom_site_fract_y
_atom_site_fract_z
Sc1 Sc 0.3492 0.3492 0.0000
Br1 Br 0.9905 0.9905 0.0000
Sr1 Sr 0.6603 0.6603 0.0000

***

- Number 3 is which compound?
  Pm2AgAuO6